(1)
# TbBiPb PBE relaxed
data_TbBiPb
_chemical_formula_sum 'Tb1 Bi1 Pb1'
_cell_length_a 5.278
_cell_length_b 5.278
_cell_length_c 5.278
_cell_angle_alpha 60.00
_cell_angle_beta 60.00
_cell_angle_gamma 60.00
_symmetry_space_group_name_H-M 'P 1'
_symmetry_Int_Tables_number 1
loop_
_symmetry_equiv_pos_as_xyz
'x,y,z'
loop_
_atom_site_label
_atom_site_type_symbol
_atom_site_fract_x
_atom_site_fract_y
_atom_site_fract_z
Tb1 Tb 0.000 0.000 0.000
Bi1 Bi 0.750 0.750 0.750
Pb1 Pb 0.500 0.500 0.500
# calculated total energy: -4.24 eV per atom
# size of the total moment: 0.0 Bohr magnetons per cell

(2)
# Dy3ZrSi4 PBE relaxed
data_Dy3ZrSi4
_chemical_formula_sum 'Dy3 Zr1 Si4'
_cell_length_a 5.604
_cell_length_b 3.803
_cell_length_c 7.711
_cell_angle_alpha 90.00
_cell_angle_beta 90.90
_cell_angle_gamma 90.00
_symmetry_space_group_name_H-M 'P 1'
_symmetry_Int_Tables_number 1
loop_
_symmetry_equiv_pos_as_xyz
'x,y,z'
loop_
_atom_site_label
_atom_site_type_symbol
_atom_site_fract_x
_atom_site_fract_y
_atom_site_fract_z
Dy1 Dy 0.000 0.000 0.000
Dy2 Dy 0.241 0.500 0.360
Dy3 Dy 0.505 0.500 0.856
Zr1 Zr 0.738 0.000 0.498
Si1 Si 0.251 0.000 0.638
Si2 Si 0.495 0.000 0.146
Si3 Si 0.754 0.500 0.228
Si4 Si 0.983 0.500 0.709
# calculated total energy: -6.33 eV per atom
# size of the total moment: 0.0 Bohr magnetons per cell

(3)
# Hf4AlGaC2 PBE relaxed
data_Hf4AlGaC2
_chemical_formula_sum 'Hf4 Al1 Ga1 C2'
_cell_length_a 3.277
_cell_length_b 3.277
_cell_length_c 14.215
_cell_angle_alpha 90.00
_cell_angle_beta 90.00
_cell_angle_gamma 120.00
_symmetry_space_group_name_H-M 'P 1'
_symmetry_Int_Tables_number 1
loop_
_symmetry_equiv_pos_as_xyz
'x,y,z'
loop_
_atom_site_label
_atom_site_type_symbol
_atom_site_fract_x
_atom_site_fract_y
_atom_site_fract_z
Hf1 Hf 0.000 0.000 0.161
Hf2 Hf 0.000 0.000 0.839
Hf3 Hf 0.333 0.667 0.336
Hf4 Hf 0.333 0.667 0.664
Al1 Al 0.000 0.000 0.500
Ga1 Ga 0.333 0.667 0.000
C1 C 0.667 0.333 0.248
C2 C 0.667 0.333 0.752
# calculated total energy: -8.87 eV per atom
# size of the total moment: 0.0 Bohr magnetons per cell

(4)
# NaScSnPt PBE relaxed
data_NaScSnPt
_chemical_formula_sum 'Na1 Sc1 Sn1 Pt1'
_cell_length_a 4.737
_cell_length_b 4.737
_cell_length_c 4.737
_cell_angle_alpha 60.00
_cell_angle_beta 60.00
_cell_angle_gamma 60.00
_symmetry_space_group_name_H-M 'P 1'
_symmetry_Int_Tables_number 1
loop_
_symmetry_equiv_pos_as_xyz
'x,y,z'
loop_
_atom_site_label
_atom_site_type_symbol
_atom_site_fract_x
_atom_site_fract_y
_atom_site_fract_z
Na1 Na 0.000 0.000 0.000
Sc1 Sc 0.750 0.750 0.750
Sn1 Sn 0.250 0.250 0.250
Pt1 Pt 0.500 0.500 0.500
# calculated total energy: -5.08 eV per atom
# size of the total moment: 0.0 Bohr magnetons per cell

(5)
# KAlRe PBE relaxed
data_KAlRe
_chemical_formula_sum 'K1 Al1 Re1'
_cell_length_a 4.747
_cell_length_b 4.747
_cell_length_c 4.747
_cell_angle_alpha 60.00
_cell_angle_beta 60.00
_cell_angle_gamma 60.00
_symmetry_space_group_name_H-M 'P 1'
_symmetry_Int_Tables_number 1
loop_
_symmetry_equiv_pos_as_xyz
'x,y,z'
loop_
_atom_site_label
_atom_site_type_symbol
_atom_site_fract_x
_atom_site_fract_y
_atom_site_fract_z
K1 K 0.000 0.000 0.000
Al1 Al 0.250 0.250 0.250
Re1 Re 0.500 0.500 0.500
# calculated total energy: -4.03 eV per atom
# size of the total moment: 2.4 Bohr magnetons per cell

(6)
# AcFe PBE relaxed
data_AcFe
_chemical_formula_sum 'Ac1 Fe1'
_cell_length_a 3.634
_cell_length_b 3.634
_cell_length_c 4.428
_cell_angle_alpha 90.00
_cell_angle_beta 90.00
_cell_angle_gamma 120.00
_symmetry_space_group_name_H-M 'P 1'
_symmetry_Int_Tables_number 1
loop_
_symmetry_equiv_pos_as_xyz
'x,y,z'
loop_
_atom_site_label
_atom_site_type_symbol
_atom_site_fract_x
_atom_site_fract_y
_atom_site_fract_z
Ac1 Ac 0.000 0.000 0.000
Fe1 Fe 0.667 0.333 0.500
# E_form: 0.8008 eV/atom
# calculated total energy: -5.41 eV per atom
# size of the total moment: 2.0 Bohr magnetons per cell

(7)
# Dy2ErIn3Ir2Au PBE relaxed
data_Dy2ErIn3Ir2Au
_chemical_formula_sum 'Dy2 Er1 In3 Ir2 Au1'
_cell_length_a 3.863
_cell_length_b 7.660
_cell_length_c 7.660
_cell_angle_alpha 119.82
_cell_angle_beta 90.00
_cell_angle_gamma 90.00
_symmetry_space_group_name_H-M 'P 1'
_symmetry_Int_Tables_number 1
loop_
_symmetry_equiv_pos_as_xyz
'x,y,z'
loop_
_atom_site_label
_atom_site_type_symbol
_atom_site_fract_x
_atom_site_fract_y
_atom_site_fract_z
Dy1 Dy 0.000 0.205 0.795
Dy2 Dy 0.000 0.795 0.205
Er1 Er 0.000 0.614 0.614
In1 In 0.500 0.205 0.474
In2 In 0.500 0.474 0.205
In3 In 0.500 0.935 0.935
Ir1 Ir 0.500 0.538 0.870
Ir2 Ir 0.500 0.870 0.538
Au1 Au 0.000 0.205 0.205
# calculated total energy: -5.48 eV per atom
# size of the total moment: 0.0 Bohr magnetons per cell

(8)
# RbHoPbSe3 PBE relaxed
data_RbHoPbSe3
_chemical_formula_sum 'Rb2 Ho2 Pb2 Se6'
_cell_length_a 9.511
_cell_length_b 9.511
_cell_length_c 9.965
_cell_angle_alpha 102.08
_cell_angle_beta 102.08
_cell_angle_gamma 25.89
_symmetry_space_group_name_H-M 'P 1'
_symmetry_Int_Tables_number 1
loop_
_symmetry_equiv_pos_as_xyz
'x,y,z'
loop_
_atom_site_label
_atom_site_type_symbol
_atom_site_fract_x
_atom_site_fract_y
_atom_site_fract_z
Rb1 Rb 0.149 0.149 0.070
Rb2 Rb 0.851 0.851 0.930
Ho1 Ho 0.171 0.171 0.575
Ho2 Ho 0.829 0.829 0.425
Pb1 Pb 0.494 0.494 0.281
Pb2 Pb 0.506 0.506 0.719
Se1 Se 0.000 0.000 0.500
Se2 Se 0.327 0.327 0.621
Se3 Se 0.333 0.333 0.233
Se4 Se 0.500 0.500 0.000
Se5 Se 0.667 0.667 0.767
Se6 Se 0.673 0.673 0.379
# calculated total energy: -4.56 eV per atom
# size of the total moment: 0.0 Bohr magnetons per cell